Entry 1:
Density functional theory data (PBE) for La2ZnSe after structural relaxation.

- Total magnetization: 0.0 μB/f.u.
- Density of states at the Fermi level: 4.9 states/eV per cell
- SG: Imm2
- Calculated density: 5.9 g/cm3
- Formation energy from raw total energies: -3.5 eV per formula unit

Lattice parameters (Å, degrees): 8.2823 8.2823 8.2823 153.08 152.29 39.02
Atoms (fractional coordinates):
1 La 0.9589 0.9589 0.0000
2 Zn 0.2954 0.7954 0.5000
3 Se 0.5440 0.5440 0.0000
4 La 0.7016 0.2016 0.5000


Entry 2:
Density functional theory data (PBE) for LaZn4Se after structural relaxation.

- Total magnetization: 0.0 μB/f.u.
- Density of states at the Fermi level: 2.6 states/eV per cell
- SG: F-43m
- Calculated density: 6.5 g/cm3
- Formation energy from raw total energies: -1.3 eV per formula unit

Lattice parameters (Å, degrees): 5.5700 5.5700 5.5700 60.00 60.00 60.00
Atoms (fractional coordinates):
1 Zn 0.8796 0.3735 0.3735
2 Zn 0.3735 0.3735 0.8796
3 Zn 0.3735 0.8796 0.3735
4 Se 0.0000 0.0000 0.0000
5 La 0.7500 0.7500 0.7500
6 Zn 0.3735 0.3735 0.3735


Entry 3:
Density functional theory data (PBE) for LaZnSe2 after structural relaxation.

- Total magnetization: 0.0 μB/f.u.
- Density of states at the Fermi level: 2.9 states/eV per cell
- SG: F-43m
- Calculated density: 6.3 g/cm3
- Formation energy from raw total energies: -2.8 eV per formula unit

Lattice parameters (Å, degrees): 5.1189 5.1189 5.1189 60.00 60.00 60.00
Atoms (fractional coordinates):
1 Se 0.0000 0.0000 0.0000
2 La 0.5000 0.5000 0.5000
3 Se 0.2500 0.2500 0.2500
4 Zn 0.7500 0.7500 0.7500


Entry 4:
Density functional theory data (PBE) for LaZnSe2 after structural relaxation.

- Total magnetization: 0.0 μB/f.u.
- Density of states at the Fermi level: 1.8 states/eV per cell
- SG: P4mm
- Calculated density: 5.7 g/cm3
- Formation energy from raw total energies: -4.6 eV per formula unit

Lattice parameters (Å, degrees): 4.1801 4.1791 6.0684 90.00 90.00 90.00
Atoms (fractional coordinates):
1 Se 0.0000 0.0000 0.8850
2 Se 0.5000 0.5000 0.3750
3 La 0.5000 0.5000 0.8727
4 Zn 0.0000 0.0000 0.3673


Entry 5:
Density functional theory data (PBE) for La2ZnSe after structural relaxation.

- Total magnetization: 0.0 μB/f.u.
- Density of states at the Fermi level: 4.1 states/eV per cell
- SG: P4/mmm
- Calculated density: 6.0 g/cm3
- Formation energy from raw total energies: -4.2 eV per formula unit

Lattice parameters (Å, degrees): 4.3577 4.3577 6.2004 90.00 90.00 90.00
Atoms (fractional coordinates):
1 Zn 0.5000 0.5000 0.8750
2 La 0.5000 0.5000 0.3750
3 La 0.0000 0.0000 0.8751
4 Se 0.0000 0.0000 0.3749


Entry 6:
Density functional theory data (PBE) for LaZnSe3 after structural relaxation.

- Total magnetization: 0.0 μB/f.u.
- Density of states at the Fermi level: 3.8 states/eV per cell
- SG: Pm-3m
- Calculated density: 6.0 g/cm3
- Formation energy from raw total energies: -4.2 eV per formula unit

Lattice parameters (Å, degrees): 4.9597 4.9597 4.9597 90.00 90.00 90.00
Atoms (fractional coordinates):
1 La 0.5000 0.5000 0.5000
2 Se 0.0000 0.0000 0.5000
3 Se 0.5000 0.0000 0.0000
4 Zn 0.0000 0.0000 0.0000
5 Se 0.0000 0.5000 0.0000


Entry 7:
Density functional theory data (PBE) for La2ZnSe after structural relaxation.

- Total magnetization: 0.0 μB/f.u.
- Density of states at the Fermi level: 3.4 states/eV per cell
- SG: Cmmm
- Calculated density: 6.8 g/cm3
- Formation energy from raw total energies: -3.7 eV per formula unit

Lattice parameters (Å, degrees): 7.9654 5.3388 3.6620 89.99 62.65 126.05
Atoms (fractional coordinates):
1 Zn 0.5000 0.5000 0.0000
2 La 0.0000 0.0000 0.0000
3 La 0.5000 0.0000 0.5000
4 Se 0.0000 0.5000 0.5000


Entry 8:
Density functional theory data (PBE) for La2ZnSe after structural relaxation.

- Total magnetization: 0.0 μB/f.u.
- Density of states at the Fermi level: 7.9 states/eV per cell
- SG: Cmcm
- Calculated density: 6.1 g/cm3
- Formation energy from raw total energies: -4.4 eV per formula unit

Lattice parameters (Å, degrees): 4.4403 4.1883 12.4963 99.65 90.00 90.00
Atoms (fractional coordinates):
1 Zn 0.2500 0.4636 0.9272
2 La 0.7500 0.9305 0.8611
3 La 0.2500 0.0695 0.1389
4 Se 0.7500 0.8081 0.6163
5 La 0.2500 0.3143 0.6286
6 La 0.7500 0.6857 0.3714
7 Zn 0.7500 0.5364 0.0728
8 Se 0.2500 0.1919 0.3837


Entry 9:
Density functional theory data (PBE) for La2ZnSe after structural relaxation.

- Total magnetization: 0.0 μB/f.u.
- Density of states at the Fermi level: 3.3 states/eV per cell
- SG: Cm
- Calculated density: 6.3 g/cm3
- Formation energy from raw total energies: -3.9 eV per formula unit

Lattice parameters (Å, degrees): 6.1677 6.1677 4.7987 90.17 90.17 37.29
Atoms (fractional coordinates):
1 Se 0.4830 0.4830 0.6238
2 Zn 0.2602 0.2602 0.1263
3 La 0.7517 0.7517 0.6258
4 La 0.0051 0.0051 0.1240


Entry 10:
Density functional theory data (PBE) for LaZn3Se after structural relaxation.

- Total magnetization: 0.0 μB/f.u.
- Density of states at the Fermi level: 4.0 states/eV per cell
- SG: Pm-3m
- Calculated density: 3.6 g/cm3
- Formation energy from raw total energies: 4.3 eV per formula unit

Lattice parameters (Å, degrees): 5.7717 5.7717 5.7717 90.00 90.00 90.00
Atoms (fractional coordinates):
1 Zn 0.0000 0.0000 0.5000
2 La 0.0000 0.0000 0.0000
3 Zn 0.0000 0.5000 0.0000
4 Zn 0.5000 0.0000 0.0000
5 Se 0.5000 0.5000 0.5000


Entry 11:
Density functional theory data (PBE) for LaZnSe4 after structural relaxation.

- Total magnetization: 0.0 μB/f.u.
- Density of states at the Fermi level: 4.5 states/eV per cell
- SG: F-43m
- Calculated density: 6.1 g/cm3
- Formation energy from raw total energies: -1.8 eV per formula unit

Lattice parameters (Å, degrees): 5.8502 5.8502 5.8502 60.00 60.00 60.00
Atoms (fractional coordinates):
1 Se 0.3752 0.3752 0.3752
2 Se 0.3752 0.8743 0.3752
3 Se 0.3752 0.3752 0.8743
4 Se 0.8743 0.3752 0.3752
5 Zn 0.7500 0.7500 0.7500
6 La 0.0000 0.0000 0.0000


Entry 12:
Density functional theory data (PBE) for LaZnSe3 after structural relaxation.

- Total magnetization: 2.9 μB/f.u.
- Density of states at the Fermi level: 5.7 states/eV per cell
- SG: Pm-3m
- Calculated density: 3.7 g/cm3
- Formation energy from raw total energies: -0.9 eV per formula unit

Lattice parameters (Å, degrees): 5.8409 5.8409 5.8409 90.00 90.00 90.00
Last column: magnetic moment on the atom in μB.
Atoms (fractional coordinates):
1 La 0.0000 0.0000 0.0000  0.01
2 Zn 0.5000 0.5000 0.5000  0.18
3 Se 0.0000 0.5000 0.0000  0.58
4 Se 0.5000 0.0000 0.0000  0.40
5 Se 0.0000 0.0000 0.5000  0.56